Computed, not measured: an optimized crystal structure of As2PtRh at the PBE level of DFT.

Properties
* distance to the lowest polymorph of the same formula: 0.378 eV/atom
* DOS(E_F): 3.8 states/eV/f.u.
* E: -5.56 eV per atom
* E_form: 43 kJ/mol of formula units

abc: 2.937 5.059 8.800
angles: 90.00 90.00 90.00
Space group Immm (No. 71)
Symmetry-distinct sites (fractional):
As (0.000, 0.000, 0.243) (multiplicity 4)
Pt (0.000, 0.500, 0.000) (multiplicity 2)
Rh (0.000, 0.500, 0.500) (multiplicity 2)